No. 1
Material: Nb2CuBr
Method: DFT, PBE
State: relaxed

Cell lengths 9.909, 9.909, 9.909 Å; angles 156.93, 156.93, 32.86 degrees
Sites, in units of the cell vectors:
Nb1 0.115 0.625 0.990
Nb2 0.375 0.365 0.490
Nb3 0.635 0.125 0.010
Nb4 0.875 0.885 0.510
Cu1 0.000 0.000 0.000
Cu2 0.750 0.250 0.500
Br1 0.250 0.750 0.500
Br2 0.500 0.500 0.000

* mass density: 7.3 g/cm³
* raw formation energy: 0.613 eV/atom
* Fermi-level density of states: 2.57 states/eV/f.u.


No. 2
Material: NbCuBr6
Method: DFT, PBE
State: relaxed

Cell lengths 7.114, 7.114, 7.115 Å; angles 103.68, 103.68, 120.34 degrees
Sites, in units of the cell vectors:
Nb1 0.000 0.000 0.000
Cu1 0.500 0.500 0.500
Br1 0.111 0.404 0.256
Br2 0.205 0.205 0.794
Br3 0.404 0.111 0.256
Br4 0.596 0.889 0.744
Br5 0.795 0.795 0.206
Br6 0.889 0.596 0.744

* mass density: 3.9 g/cm³
* raw formation energy: -0.632 eV/atom
* Fermi-level density of states: 4.10 states/eV/f.u.


No. 3
Material: NbCu2NiBr
Method: DFT, PBE
State: relaxed

Cell lengths 4.938, 4.938, 4.628 Å; angles 90.00, 90.00, 90.00 degrees
Sites, in units of the cell vectors:
Nb1 0.000 0.000 0.000
Cu1 0.000 0.500 0.000
Cu2 0.500 0.000 0.000
Ni1 0.000 0.000 0.500
Br1 0.500 0.500 0.500

* mass density: 5.3 g/cm³
* raw formation energy: 1.399 eV/atom
* Fermi-level density of states: 7.60 states/eV/f.u.


No. 4
Material: Rb2NbCuBr6
Method: DFT, PBE
State: relaxed

Cell lengths 7.576, 7.576, 7.576 Å; angles 60.00, 60.00, 60.00 degrees
Sites, in units of the cell vectors:
Rb1 0.250 0.250 0.250
Rb2 0.750 0.750 0.750
Nb1 0.000 0.000 0.000
Cu1 0.500 0.500 0.500
Br1 0.249 0.249 0.751
Br2 0.249 0.751 0.249
Br3 0.249 0.751 0.751
Br4 0.751 0.249 0.249
Br5 0.751 0.249 0.751
Br6 0.751 0.751 0.249

* mass density: 4.4 g/cm³
* raw formation energy: -1.008 eV/atom
* Fermi-level density of states: 8.84 states/eV/f.u.


No. 5
Material: NbCuSeBr2
Method: DFT, PBE
State: relaxed

Cell lengths 4.867, 4.867, 4.940 Å; angles 90.00, 90.00, 90.00 degrees
Sites, in units of the cell vectors:
Nb1 0.000 0.000 0.000
Cu1 0.500 0.500 0.500
Se1 0.500 0.500 0.000
Br1 0.000 0.500 0.500
Br2 0.500 0.000 0.500

* mass density: 5.6 g/cm³
* raw formation energy: 0.521 eV/atom
* Fermi-level density of states: 4.28 states/eV/f.u.


No. 6
Material: NbCuSe2Br
Method: DFT, PBE
State: relaxed

Cell lengths 5.033, 5.033, 5.223 Å; angles 90.00, 90.00, 90.00 degrees
Sites, in units of the cell vectors:
Nb1 0.000 0.000 0.000
Cu1 0.500 0.500 0.500
Se1 0.000 0.500 0.000
Se2 0.500 0.000 0.000
Br1 0.000 0.000 0.500

* mass density: 4.9 g/cm³
* raw formation energy: 0.153 eV/atom
* Fermi-level density of states: 3.61 states/eV/f.u.


No. 7
Material: NbCuSeBr2
Method: DFT, PBE
State: relaxed

Cell lengths 5.215, 5.215, 5.017 Å; angles 90.00, 90.00, 90.00 degrees
Sites, in units of the cell vectors:
Nb1 0.000 0.000 0.000
Cu1 0.500 0.500 0.500
Se1 0.000 0.000 0.500
Br1 0.000 0.500 0.000
Br2 0.500 0.000 0.000

* mass density: 4.8 g/cm³
* raw formation energy: 0.147 eV/atom
* Fermi-level density of states: 4.35 states/eV/f.u.


No. 8
Material: TaNbCuBr2
Method: DFT, PBE
State: relaxed

Cell lengths 4.701, 4.701, 5.089 Å; angles 90.00, 90.00, 90.00 degrees
Sites, in units of the cell vectors:
Ta1 0.000 0.000 0.000
Nb1 0.500 0.500 0.000
Cu1 0.000 0.000 0.500
Br1 0.000 0.500 0.500
Br2 0.500 0.000 0.500

* mass density: 7.3 g/cm³
* raw formation energy: 1.374 eV/atom
* Fermi-level density of states: 6.45 states/eV/f.u.


No. 9
Material: TaNbCu2Br
Method: DFT, PBE
State: relaxed

Cell lengths 4.427, 4.427, 4.836 Å; angles 90.00, 90.00, 90.00 degrees
Sites, in units of the cell vectors:
Ta1 0.000 0.000 0.000
Nb1 0.500 0.500 0.000
Cu1 0.000 0.500 0.500
Cu2 0.500 0.000 0.500
Br1 0.000 0.000 0.500

* mass density: 8.4 g/cm³
* raw formation energy: 1.376 eV/atom
* Fermi-level density of states: 3.62 states/eV/f.u.


No. 10
Material: NdCu2Br6
Method: DFT, PBE
State: relaxed

Cell lengths 9.725, 9.725, 6.927 Å; angles 97.00, 97.00, 79.91 degrees
Sites, in units of the cell vectors:
Nd1 0.105 0.895 0.750
Nd2 0.895 0.105 0.250
Cu1 0.310 0.450 0.735
Cu2 0.450 0.310 0.235
Cu3 0.550 0.690 0.765
Cu4 0.690 0.550 0.265
Br1 0.044 0.180 0.623
Br2 0.131 0.615 0.872
Br3 0.180 0.044 0.123
Br4 0.285 0.469 0.394
Br5 0.385 0.869 0.628
Br6 0.469 0.285 0.894
Br7 0.531 0.715 0.106
Br8 0.615 0.131 0.372
Br9 0.715 0.531 0.606
Br10 0.820 0.956 0.877
Br11 0.869 0.385 0.128
Br12 0.956 0.820 0.377

* mass density: 3.9 g/cm³
* raw formation energy: -0.962 eV/atom
* Fermi-level density of states: 6.02 states/eV/f.u.


No. 11
Material: Nd2CuBr2
Method: DFT, PBE
State: relaxed

Cell lengths 11.423, 11.423, 11.423 Å; angles 20.71, 20.71, 20.71 degrees
Sites, in units of the cell vectors:
Nd1 0.114 0.114 0.114
Nd2 0.886 0.886 0.886
Cu1 0.500 0.500 0.500
Br1 0.276 0.276 0.276
Br2 0.724 0.724 0.724

* mass density: 5.2 g/cm³
* raw formation energy: -1.021 eV/atom
* Fermi-level density of states: 4.50 states/eV/f.u.


No. 12
Material: Nd7CuBr12
Method: DFT, PBE
State: relaxed

Cell lengths 9.483, 9.483, 9.483 Å; angles 108.07, 108.07, 108.07 degrees
Sites, in units of the cell vectors:
Nd1 0.000 0.000 0.000
Nd2 0.173 0.461 0.383
Nd3 0.383 0.173 0.461
Nd4 0.461 0.383 0.173
Nd5 0.539 0.617 0.827
Nd6 0.617 0.827 0.539
Nd7 0.827 0.539 0.617
Cu1 0.500 0.500 0.500
Br1 0.021 0.106 0.340
Br2 0.106 0.340 0.021
Br3 0.190 0.575 0.722
Br4 0.278 0.810 0.425
Br5 0.340 0.021 0.106
Br6 0.425 0.278 0.810
Br7 0.575 0.722 0.190
Br8 0.660 0.979 0.894
Br9 0.722 0.190 0.575
Br10 0.810 0.425 0.278
Br11 0.894 0.660 0.979
Br12 0.979 0.894 0.660

* mass density: 4.9 g/cm³
* raw formation energy: -1.545 eV/atom
* Fermi-level density of states: 8.32 states/eV/f.u.